A plane-wave DFT calculation with PBE was carried out for crystalline CeCuGePt3 at its relaxed geometry.

Geometry as CIF:
```
data_CeCuGePt3
_chemical_formula_sum 'Ce4 Cu4 Ge4 Pt12'
_cell_length_a 6.7293
_cell_length_b 11.6863
_cell_length_c 5.6940
_cell_angle_alpha 90.00
_cell_angle_beta 90.00
_cell_angle_gamma 90.00
_symmetry_space_group_name_H-M 'C m c m'
_symmetry_Int_Tables_number 63
_symmetry_space_group_name_Hall '-C 2c 2'
loop_
_atom_site_label
_atom_site_fract_x
_atom_site_fract_y
_atom_site_fract_z
Ce1 0.0000 0.2061 0.2500
Cu1 0.0000 0.4357 0.2500
Ge1 0.0000 0.1289 0.7500
Pt1 0.0000 0.3345 0.7500
Pt2 0.2143 0.0000 0.0000
```

Summary:
ΔH_f (0 K) = -0.54 eV per atom

A plane-wave DFT calculation with PBE was carried out for crystalline Ce2CuGe3Pt4 at its relaxed geometry.

Geometry as CIF:
```
data_Ce2CuGe3Pt4
_chemical_formula_sum 'Ce2 Cu1 Ge3 Pt4'
_cell_length_a 4.3252
_cell_length_b 4.3252
_cell_length_c 10.1573
_cell_angle_alpha 90.00
_cell_angle_beta 90.00
_cell_angle_gamma 90.00
_symmetry_space_group_name_H-M 'P -4 m 2'
_symmetry_Int_Tables_number 115
loop_
_symmetry_equiv_pos_as_xyz
'x,y,z'
'y,-x,-z'
'-x,-y,z'
'-y,x,-z'
'-x,y,z'
'-y,-x,-z'
'x,-y,z'
'y,x,-z'
loop_
_atom_site_label
_atom_site_fract_x
_atom_site_fract_y
_atom_site_fract_z
Ce1 0.0000 0.5000 0.2410
Cu1 0.5000 0.5000 0.0000
Ge1 0.0000 0.0000 0.0000
Ge2 0.0000 0.5000 0.6309
Pt1 0.0000 0.0000 0.5000
Pt2 0.0000 0.5000 0.8704
Pt3 0.5000 0.5000 0.5000
```

Summary:
ΔH_f (0 K) = -0.84 eV per atom

A plane-wave DFT calculation with PBE was carried out for crystalline Ce2CuGe4Pt3 at its relaxed geometry.

Geometry as CIF:
```
data_Ce2CuGe4Pt3
_chemical_formula_sum 'Ce2 Cu1 Ge4 Pt3'
_cell_length_a 4.3310
_cell_length_b 4.3310
_cell_length_c 10.1067
_cell_angle_alpha 90.00
_cell_angle_beta 90.00
_cell_angle_gamma 90.00
_symmetry_space_group_name_H-M 'P -4 m 2'
_symmetry_Int_Tables_number 115
loop_
_symmetry_equiv_pos_as_xyz
'x,y,z'
'y,-x,-z'
'-x,-y,z'
'-y,x,-z'
'-x,y,z'
'-y,-x,-z'
'x,-y,z'
'y,x,-z'
loop_
_atom_site_label
_atom_site_fract_x
_atom_site_fract_y
_atom_site_fract_z
Ce1 0.0000 0.5000 0.2455
Cu1 0.5000 0.5000 0.0000
Ge1 0.0000 0.0000 0.5000
Ge2 0.0000 0.5000 0.8709
Ge3 0.5000 0.5000 0.5000
Pt1 0.0000 0.0000 0.0000
Pt2 0.0000 0.5000 0.6272
```

Summary:
ΔH_f (0 K) = -0.82 eV per atom

A plane-wave DFT calculation with PBE was carried out for crystalline CePu2Cu2Ge2 at its relaxed geometry.

Geometry as CIF:
```
data_CePu2Cu2Ge2
_chemical_formula_sum 'Ce3 Pu6 Cu6 Ge6'
_cell_length_a 4.0359
_cell_length_b 4.0359
_cell_length_c 27.2041
_cell_angle_alpha 90.00
_cell_angle_beta 90.00
_cell_angle_gamma 120.00
_symmetry_space_group_name_H-M 'R -3 m'
_symmetry_Int_Tables_number 166
_symmetry_space_group_name_Hall '-R 3 2"'
loop_
_atom_site_label
_atom_site_fract_x
_atom_site_fract_y
_atom_site_fract_z
Ce1 0.0000 0.0000 0.0000
Pu1 0.0000 0.0000 0.1510
Cu1 0.0000 0.0000 0.4141
Ge1 0.0000 0.0000 0.2594
```

Summary:
ΔH_f (0 K) = -0.24 eV per atom

A plane-wave DFT calculation with PBE was carried out for crystalline Ce2PuCu2Ge2 at its relaxed geometry.

Geometry as CIF:
```
data_Ce2PuCu2Ge2
_chemical_formula_sum 'Ce6 Pu3 Cu6 Ge6'
_cell_length_a 4.2697
_cell_length_b 4.2697
_cell_length_c 27.0750
_cell_angle_alpha 90.00
_cell_angle_beta 90.00
_cell_angle_gamma 120.00
_symmetry_space_group_name_H-M 'R -3 m'
_symmetry_Int_Tables_number 166
_symmetry_space_group_name_Hall '-R 3 2"'
loop_
_atom_site_label
_atom_site_fract_x
_atom_site_fract_y
_atom_site_fract_z
Ce1 0.0000 0.0000 0.1397
Pu1 0.0000 0.0000 0.0000
Cu1 0.0000 0.0000 0.4068
Ge1 0.0000 0.0000 0.2640
```

Summary:
ΔH_f (0 K) = -0.37 eV per atom

A plane-wave DFT calculation with PBE was carried out for crystalline Ce2CuGe6Rh at its relaxed geometry.

Geometry as CIF:
```
data_Ce2CuGe6Rh
_chemical_formula_sum 'Ce4 Cu2 Ge12 Rh2'
_cell_length_a 6.5661
_cell_length_b 8.8501
_cell_length_c 7.0023
_cell_angle_alpha 90.00
_cell_angle_beta 90.00
_cell_angle_gamma 90.00
_symmetry_space_group_name_H-M 'P m m n'
_symmetry_Int_Tables_number 59
loop_
_symmetry_equiv_pos_as_xyz
'x,y,z'
'-x,-y,-z'
'-x+1/2,-y+1/2,z'
'x+1/2,y+1/2,-z'
'x+1/2,-y,-z'
'-x+1/2,y,z'
'-x,y+1/2,-z'
'x,-y+1/2,z'
loop_
_atom_site_label
_atom_site_fract_x
_atom_site_fract_y
_atom_site_fract_z
Ce1 0.2500 0.0037 0.2356
Cu1 0.2500 0.7500 0.9136
Ge1 0.0578 0.2500 0.9188
Ge2 0.0586 0.7500 0.5835
Ge3 0.2500 0.5050 0.7476
Rh1 0.2500 0.2500 0.5941
```

Summary:
ΔH_f (0 K) = -0.37 eV per atom